Compound: HfNiHgPb
Source: the Open Quantum Materials Database
Functional: PBE
Structure: optimized geometry

abc: 6.823 6.823 6.823
angles: 90.00 90.00 90.00
Space group F-43m (No. 216)
Asymmetric unit:
Hf 0.000 0.000 0.000
Ni 0.000 0.000 0.500
Hg 0.250 0.250 0.750
Pb 0.250 0.250 0.250

Output
Energy = -74.5 eV for the cell shown
Volume = 19.85 Å³/atom